Below is KHg3Pt after structural relaxation, with properties calculated at the GGA-PBE level.

As for the density of states at the Fermi level: 1.77 states/eV/f.u. For the energy above the lowest structure with this stoichiometry, the calculation gives 156.6 meV/atom. The calculation puts the formation energy at -0.6 eV per formula unit.

abc: 7.5104 7.5104 17.6402
angles: 90.00 90.00 120.00
Closest atoms and distances in Å follow each position.
Space group R-3m (No. 166, hexagonal axes)
Unique sites:
K1 0.0000 0.0000 0.1037 [6 per cell]  9 Hg 3.47-3.77, 1 Pt 3.51, 1 K 3.66
Hg1 0.0500 0.5250 0.0926 [18 per cell]  2 Pt 2.72-2.85
Pt1 0.0000 0.0000 0.3029 [6 per cell]  6 Hg 2.72-2.85

Below is LiLa2CoAg after structural relaxation, with properties calculated at the GGA-PBE level.

As for the density of states at the Fermi level: 3.55 states/eV/f.u. For the energy above the lowest structure with this stoichiometry, the calculation gives 0.0 meV/atom. The calculation puts the formation energy at -0.2 eV per formula unit.

abc: 5.1798 5.1798 4.8255
angles: 90.00 90.00 90.00
Closest atoms and distances in Å follow each position.
Space group P4/mmm (No. 123)
Unique sites:
Li1 0.0000 0.0000 0.0000 [1 per cell]  2 Co 2.41
La1 0.0000 0.5000 0.5000 [2 per cell]  2 Co 2.59
Co1 0.0000 0.0000 0.5000 [1 per cell]  2 Li 2.41, 4 La 2.59
Ag1 0.5000 0.5000 0.0000 [1 per cell]  8 La 3.54, 4 Li 3.66

Below is Li2FeRu after structural relaxation, with properties calculated at the GGA-PBE level.

As for the density of states at the Fermi level: 2.82 states/eV/f.u. For the energy above the lowest structure with this stoichiometry, the calculation gives 66.9 meV/atom. The calculation puts the formation energy at 0.9 eV per formula unit.

abc: 2.6721 4.3756 9.1948
angles: 90.00 90.00 90.00
Closest atoms and distances in Å follow each position.
Space group Cmmm (No. 65)
Unique sites:
Li1 0.0000 0.0000 0.2469 [4 per cell]  6 Li 2.56-2.67, 2 Ru 2.63, 2 Fe 2.68
Fe1 0.0000 0.5000 0.5000 [2 per cell]  6 Fe 2.56-2.67, 4 Li 2.68
Ru1 0.0000 0.5000 0.0000 [2 per cell]  6 Ru 2.56-2.67, 4 Li 2.63

Below is NaMg3 after structural relaxation, with properties calculated at the GGA-PBE level.

As for the density of states at the Fermi level: 1.39 states/eV/f.u. The calculation puts the formation energy at 0.3 eV per formula unit.

abc: 3.4441 3.4441 8.6842
angles: 90.00 90.00 90.00
Closest atoms and distances in Å follow each position.
Space group P4/mmm (No. 123)
Unique sites:
Na1 0.0000 0.0000 0.0000 [1 per cell]  8 Mg 3.44, 4 Na 3.44
Mg1 0.0000 0.0000 0.5000 [1 per cell]  12 Mg 3.10-3.44
Mg2 0.5000 0.5000 0.2798 [2 per cell]  8 Mg 3.10-3.44, 4 Na 3.44

Below is PrNd4Dy6 after structural relaxation, with properties calculated at the GGA-PBE level.

As for the density of states at the Fermi level: 15.72 states/eV/f.u. For the energy above the lowest structure with this stoichiometry, the calculation gives 0.0 meV/atom. The calculation puts the formation energy at 1.7 eV per formula unit.

abc: 11.0740 11.0740 3.5497
angles: 90.00 90.00 120.00
Closest atoms and distances in Å follow each position.
Space group P-6m2 (No. 187)
Unique sites:
Pr1 0.0000 0.0000 0.0000 [1 per cell]  2 Pr 3.55, 6 Dy 3.71
Nd1 0.3333 0.6667 0.0000 [1 per cell]  3 Dy 3.13
Nd2 0.3956 0.1978 0.5000 [3 per cell]  6 Dy 3.48-3.56, 2 Nd 3.55
Dy1 0.0074 0.5037 0.0000 [3 per cell]  5 Nd 3.13-3.48
Dy2 0.1701 0.3402 0.5000 [3 per cell]  6 Dy 3.55-3.60, 4 Nd 3.56-3.60, 2 Pr 3.71

Below is LiTlCdBi after structural relaxation, with properties calculated at the GGA-PBE level.

As for the density of states at the Fermi level: 1.48 states/eV/f.u. The calculation puts the formation energy at -0.6 eV per formula unit.

abc: 7.4871 7.4871 7.4871
angles: 90.00 90.00 90.00
Closest atoms and distances in Å follow each position.
Space group F-43m (No. 216)
Unique sites:
Li1 0.0000 0.0000 0.0000 [4 per cell]  4 Tl 3.24, 4 Bi 3.24
Tl1 0.2500 0.2500 0.7500 [4 per cell]  4 Cd 3.24, 4 Li 3.24
Cd1 0.0000 0.0000 0.5000 [4 per cell]  4 Tl 3.24, 4 Bi 3.24
Bi1 0.2500 0.2500 0.2500 [4 per cell]  4 Cd 3.24, 4 Li 3.24

What is the formation energy in the sixth record? -0.6 eV per formula unit